# Tb5Hg2Bi PBE optimized geometry
data_Tb5Hg2Bi
_chemical_formula_sum 'Tb10 Hg4 Bi2'
_cell_length_a 8.8340
_cell_length_b 8.8340
_cell_length_c 8.8340
_cell_angle_alpha 123.30
_cell_angle_beta 123.30
_cell_angle_gamma 84.37
_space_group_name_H-M_alt 'P 1'
_space_group_IT_number 1
_space_group_name_Hall 'P 1'
loop_
_atom_site_label
_atom_site_fract_x
_atom_site_fract_y
_atom_site_fract_z
Tb1 0.0000 0.0000 0.0000
Tb2 0.0060 0.5060 0.8046
Tb3 0.2014 0.0060 0.5000
Tb4 0.2986 0.7986 0.8046
Tb5 0.4940 0.2986 0.5000
Tb6 0.5000 0.5000 0.0000
Tb7 0.5060 0.7014 0.5000
Tb8 0.7014 0.2014 0.1954
Tb9 0.7986 0.9940 0.5000
Tb10 0.9940 0.4940 0.1954
Hg1 0.1414 0.3586 0.5000
Hg2 0.3586 0.8586 0.2172
Hg3 0.6414 0.1414 0.7828
Hg4 0.8586 0.6414 0.5000
Bi1 0.2500 0.2500 0.0000
Bi2 0.7500 0.7500 0.0000
# VASP energy   -0.290 Ry per atom
# M_tot   0.00 μB per atom

---

# KTl2PtF6 PBE optimized geometry
data_KTl2PtF6
_chemical_formula_sum 'K1 Tl2 Pt1 F6'
_cell_length_a 6.3201
_cell_length_b 6.3201
_cell_length_c 6.6321
_cell_angle_alpha 90.00
_cell_angle_beta 90.00
_cell_angle_gamma 120.00
_space_group_name_H-M_alt 'P 1'
_space_group_IT_number 1
_space_group_name_Hall 'P 1'
loop_
_atom_site_label
_atom_site_fract_x
_atom_site_fract_y
_atom_site_fract_z
K1 0.0000 0.0000 0.0000
Tl1 0.3333 0.6667 0.6051
Tl2 0.6667 0.3333 0.3949
Pt1 0.0000 0.0000 0.5000
F1 0.1568 0.3135 0.3185
F2 0.1568 0.8432 0.3185
F3 0.3135 0.1568 0.6815
F4 0.6865 0.8432 0.3185
F5 0.8432 0.1568 0.6815
F6 0.8432 0.6865 0.6815
# Formation energy without anion corrections   -1742 meV per atom
# VASP energy   -0.298 Ry per atom
# M_tot   0.10 μB per atom